Entry 1:
Tb2Si3Ni4Rh: relaxed, PBE.

```
data_Tb2Si3Ni4Rh
_chemical_formula_sum 'Tb2 Si3 Ni4 Rh1'
_symmetry_space_group_name_H-M 'P -4 m 2'
_symmetry_Int_Tables_number 115
_cell_length_a 3.934
_cell_length_b 3.934
_cell_length_c 9.904
_cell_angle_alpha 90.00
_cell_angle_beta 90.00
_cell_angle_gamma 90.00
loop_
_symmetry_equiv_pos_as_xyz
'x,y,z'
'y,-x,-z'
'-x,-y,z'
'-y,x,-z'
'-x,y,z'
'-y,-x,-z'
'x,-y,z'
'y,x,-z'
loop_
_atom_site_label
_atom_site_type_symbol
_atom_site_fract_x
_atom_site_fract_y
_atom_site_fract_z
Tb1 Tb 0.000 0.500 0.248
Si1 Si 0.000 0.500 0.877
Si2 Si 0.500 0.500 0.500
Ni1 Ni 0.000 0.000 0.000
Ni2 Ni 0.000 0.500 0.647
Ni3 Ni 0.500 0.500 0.000
Rh1 Rh 0.000 0.000 0.500
```

---

Entry 2:
TbSi2Ni2Rh: relaxed, PBE.

```
data_TbSi2Ni2Rh
_chemical_formula_sum 'Tb1 Si2 Ni2 Rh1'
_symmetry_space_group_name_H-M 'P 4/m m m'
_symmetry_Int_Tables_number 123
_symmetry_space_group_name_Hall '-P 4 2'
_cell_length_a 4.474
_cell_length_b 4.474
_cell_length_c 5.281
_cell_angle_alpha 90.00
_cell_angle_beta 90.00
_cell_angle_gamma 90.00
loop_
_atom_site_label
_atom_site_type_symbol
_atom_site_fract_x
_atom_site_fract_y
_atom_site_fract_z
Tb1 Tb 0.000 0.000 0.000
Si1 Si 0.000 0.500 0.500
Ni1 Ni 0.500 0.500 0.256
Rh1 Rh 0.000 0.000 0.500
```

---

Entry 3:
Tb2Si4NiRh3: relaxed, PBE.

```
data_Tb2Si4NiRh3
_chemical_formula_sum 'Tb2 Si4 Ni1 Rh3'
_symmetry_space_group_name_H-M 'P -4 m 2'
_symmetry_Int_Tables_number 115
_cell_length_a 4.079
_cell_length_b 4.079
_cell_length_c 9.897
_cell_angle_alpha 90.00
_cell_angle_beta 90.00
_cell_angle_gamma 90.00
loop_
_symmetry_equiv_pos_as_xyz
'x,y,z'
'y,-x,-z'
'-x,-y,z'
'-y,x,-z'
'-x,y,z'
'-y,-x,-z'
'x,-y,z'
'y,x,-z'
loop_
_atom_site_label
_atom_site_type_symbol
_atom_site_fract_x
_atom_site_fract_y
_atom_site_fract_z
Tb1 Tb 0.000 0.500 0.247
Si1 Si 0.000 0.000 0.000
Si2 Si 0.000 0.500 0.628
Si3 Si 0.500 0.500 0.000
Ni1 Ni 0.000 0.000 0.500
Rh1 Rh 0.000 0.500 0.870
Rh2 Rh 0.500 0.500 0.500
```

---

no.,uncorrected energy (eV/atom)
1,-6.33
2,-5.93
3,-6.85